# Ba3Ca2Zn4Ga2

A relaxed structure of Ba3Ca2Zn4Ga2 (PBE-GGA, the Alexandria database).

Symmetry: P-3m1, No. 164
Volume (Å³ per atom): 31.98
Formation energy from the elements (kJ/mol of formula units): -169.4

abc: 4.899 4.899 16.927
angles: 90.00 90.00 120.00
Atoms (fractional coordinates):
Ba 0.000 0.000 0.754
Ba 0.000 0.000 0.000
Ba 0.000 0.000 0.246
Ca 0.667 0.333 0.433
Ca 0.333 0.667 0.567
Zn 0.667 0.333 0.126
Zn 0.333 0.667 0.874
Zn 0.667 0.333 0.638
Zn 0.333 0.667 0.362
Ga 0.667 0.333 0.866
Ga 0.333 0.667 0.134

# BaCaZnGa

A relaxed structure of BaCaZnGa (PBE-GGA, the Alexandria database).

Symmetry: Amm2, No. 38
Volume (Å³ per atom): 31.19
Formation energy from the elements (kJ/mol of formula units): -103.8

abc: 4.119 4.626 6.862
angles: 90.00 107.47 90.00
Atoms (fractional coordinates):
Ba 0.737 0.500 0.474
Ca 0.026 0.000 0.051
Zn 0.348 0.000 0.696
Ga 0.459 0.500 0.918

# Ba2CaGd

A relaxed structure of Ba2CaGd (PBE-GGA, the Alexandria database).

Distance to the lowest polymorph of the same formula (meV per atom): 37
Symmetry: P4/mmm, No. 123
Volume (Å³ per atom): 48.05
Formation energy from the elements (kJ/mol of formula units): 70.0

abc: 4.458 6.566 6.566
angles: 90.00 90.00 90.00
Atoms (fractional coordinates):
Ca 0.500 0.000 0.000
Gd 0.500 0.500 0.500
Ba 0.000 0.000 0.500
Ba 0.000 0.500 0.000

# Ba2CaGd

A relaxed structure of Ba2CaGd (PBE-GGA, the Alexandria database).

Distance to the lowest polymorph of the same formula (meV per atom): 44
Symmetry: Fm-3m, No. 225
Volume (Å³ per atom): 48.22
Formation energy from the elements (kJ/mol of formula units): 72.9

abc: 6.485 6.485 6.485
angles: 60.00 60.00 60.00
Atoms (fractional coordinates):
Ca 0.500 0.500 0.500
Gd 0.000 0.000 0.000
Ba 0.250 0.250 0.250
Ba 0.750 0.750 0.750

# BaCa4Gd

A relaxed structure of BaCa4Gd (PBE-GGA, the Alexandria database).

Symmetry: F-43m, No. 216
Volume (Å³ per atom): 45.51
Formation energy from the elements (kJ/mol of formula units): 104.7

abc: 7.282 7.282 7.282
angles: 60.00 60.00 60.00
Atoms (fractional coordinates):
Ca 0.626 0.626 0.122
Ca 0.626 0.122 0.626
Ca 0.626 0.626 0.626
Ca 0.122 0.626 0.626
Gd 0.000 0.000 0.000
Ba 0.250 0.250 0.250

# Ba2CaGd

A relaxed structure of Ba2CaGd (PBE-GGA, the Alexandria database).

Distance to the lowest polymorph of the same formula (meV per atom): 0
Symmetry: P4/mmm, No. 123
Volume (Å³ per atom): 48.36
Formation energy from the elements (kJ/mol of formula units): 55.9

abc: 4.056 4.056 11.759
angles: 90.00 90.00 90.00
Atoms (fractional coordinates):
Ca 0.500 0.500 0.500
Gd 0.500 0.500 0.000
Ba 0.000 0.000 0.764
Ba 0.000 0.000 0.236

# BaCaGdIn

A relaxed structure of BaCaGdIn (PBE-GGA, the Alexandria database).

Symmetry: F-43m, No. 216
Volume (Å³ per atom): 35.69
Formation energy from the elements (kJ/mol of formula units): -33.7

abc: 5.867 5.867 5.867
angles: 60.00 60.00 60.00
Atoms (fractional coordinates):
Ca 0.750 0.750 0.750
Gd 0.500 0.500 0.500
Ba 0.000 0.000 0.000
In 0.250 0.250 0.250

# BaCaNdGd

A relaxed structure of BaCaNdGd (PBE-GGA, the Alexandria database).

Symmetry: F-43m, No. 216
Volume (Å³ per atom): 40.72
Formation energy from the elements (kJ/mol of formula units): 77.1

abc: 6.130 6.130 6.130
angles: 60.00 60.00 60.00
Atoms (fractional coordinates):
Ca 0.500 0.500 0.500
Gd 0.000 0.000 0.000
Nd 0.750 0.750 0.750
Ba 0.250 0.250 0.250

# BaCa3Ge2

A relaxed structure of BaCa3Ge2 (PBE-GGA, the Alexandria database).

Symmetry: Pmc2_1, No. 26
Volume (Å³ per atom): 31.28
Formation energy from the elements (kJ/mol of formula units): -337.9

abc: 4.976 8.209 9.191
angles: 90.00 90.00 90.00
Atoms (fractional coordinates):
Ba 0.500 0.521 0.575
Ba 0.500 0.021 0.425
Ca 0.000 0.468 0.929
Ca 0.000 0.968 0.071
Ca 0.500 0.646 0.167
Ca 0.500 0.146 0.833
Ca 0.000 0.355 0.315
Ca 0.000 0.855 0.685
Ge 0.500 0.774 0.862
Ge 0.500 0.274 0.138
Ge 0.000 0.236 0.653
Ge 0.000 0.736 0.347

# Ba2CaGe2

A relaxed structure of Ba2CaGe2 (PBE-GGA, the Alexandria database).

Distance to the lowest polymorph of the same formula (meV per atom): 0
Symmetry: P4/mbm, No. 127
Volume (Å³ per atom): 34.58
Formation energy from the elements (kJ/mol of formula units): -234.0

abc: 8.215 8.215 5.124
angles: 90.00 90.00 90.00
Atoms (fractional coordinates):
Ge 0.389 0.889 0.000
Ge 0.889 0.611 0.000
Ge 0.611 0.111 0.000
Ge 0.111 0.389 0.000
Ca 0.000 0.000 0.000
Ca 0.500 0.500 0.000
Ba 0.173 0.673 0.500
Ba 0.673 0.827 0.500
Ba 0.827 0.327 0.500
Ba 0.327 0.173 0.500

# BaCaGe4

A relaxed structure of BaCaGe4 (PBE-GGA, the Alexandria database).

Distance to the lowest polymorph of the same formula (meV per atom): 59
Symmetry: F-43m, No. 216
Volume (Å³ per atom): 24.70
Formation energy from the elements (kJ/mol of formula units): -215.5

abc: 5.940 5.940 5.940
angles: 60.00 60.00 60.00
Atoms (fractional coordinates):
Ge 0.616 0.616 0.153
Ge 0.616 0.153 0.616
Ge 0.616 0.616 0.616
Ge 0.153 0.616 0.616
Ca 0.250 0.250 0.250
Ba 0.000 0.000 0.000

# BaCaGe

A relaxed structure of BaCaGe (PBE-GGA, the Alexandria database).

Symmetry: P-6m2, No. 187
Volume (Å³ per atom): 44.25
Formation energy from the elements (kJ/mol of formula units): -80.1

abc: 4.815 4.816 13.221
angles: 90.00 90.00 60.00
Atoms (fractional coordinates):
Ba 0.155 0.561 0.053
Ba 0.155 0.561 0.525
Ca 0.822 0.227 0.789
Ca 0.488 0.894 0.289
Ge 0.821 0.228 0.193
Ge 0.821 0.228 0.385

# BaCaGe

A relaxed structure of BaCaGe (PBE-GGA, the Alexandria database).

Symmetry: P4/nmm, No. 129
Volume (Å³ per atom): 34.57
Formation energy from the elements (kJ/mol of formula units): -170.0

abc: 5.087 5.087 8.015
angles: 90.02 90.02 90.01
Atoms (fractional coordinates):
Ba 0.250 0.250 0.364
Ba 0.750 0.750 0.636
Ca 0.750 0.250 0.000
Ca 0.250 0.750 0.000
Ge 0.750 0.750 0.219
Ge 0.250 0.250 0.781

# BaCaGe

A relaxed structure of BaCaGe (PBE-GGA, the Alexandria database).

Symmetry: Pcca, No. 54
Volume (Å³ per atom): 37.04
Formation energy from the elements (kJ/mol of formula units): -140.7

abc: 7.624 7.623 7.647
angles: 90.03 90.00 90.00
Atoms (fractional coordinates):
Ge 0.500 0.250 0.722
Ge 0.000 0.250 0.278
Ge 0.500 0.750 0.278
Ge 0.000 0.750 0.722
Ba 0.750 0.501 0.000
Ba 0.750 0.001 0.000
Ba 0.250 0.499 0.000
Ba 0.250 0.999 0.000
Ca 0.250 0.000 0.500
Ca 0.250 0.500 0.500
Ca 0.750 0.000 0.500
Ca 0.750 0.500 0.500

# Ba2CaGe2

A relaxed structure of Ba2CaGe2 (PBE-GGA, the Alexandria database).

Distance to the lowest polymorph of the same formula (meV per atom): 298
Symmetry: I4/mmm, No. 139
Volume (Å³ per atom): 35.60
Formation energy from the elements (kJ/mol of formula units): -90.0

abc: 5.066 5.066 7.807
angles: 71.07 71.07 90.00
Atoms (fractional coordinates):
Ge 0.413 0.413 0.174
Ge 0.587 0.587 0.826
Ca 0.000 0.000 0.000
Ba 0.750 0.250 0.500
Ba 0.250 0.750 0.500

# Ba3CaGe

A relaxed structure of Ba3CaGe (PBE-GGA, the Alexandria database).

Distance to the lowest polymorph of the same formula (meV per atom): 0
Symmetry: Pm-3m, No. 221
Volume (Å³ per atom): 56.07
Formation energy from the elements (kJ/mol of formula units): -50.0

abc: 6.545 6.545 6.545
angles: 90.00 90.00 90.00
Atoms (fractional coordinates):
Ge 0.000 0.000 0.000
Ca 0.500 0.500 0.500
Ba 0.000 0.500 0.000
Ba 0.000 0.000 0.500
Ba 0.500 0.000 0.000

# BaCaGe2

A relaxed structure of BaCaGe2 (PBE-GGA, the Alexandria database).

Symmetry: Pnma, No. 62
Volume (Å³ per atom): 29.78
Formation energy from the elements (kJ/mol of formula units): -227.0

abc: 4.225 9.226 12.224
angles: 90.00 90.00 90.00
Atoms (fractional coordinates):
Ba 0.750 0.882 0.128
Ba 0.250 0.118 0.872
Ba 0.750 0.382 0.372
Ba 0.250 0.618 0.628
Ca 0.250 0.506 0.120
Ca 0.250 0.006 0.380
Ca 0.750 0.494 0.880
Ca 0.750 0.994 0.620
Ge 0.750 0.819 0.824
Ge 0.250 0.181 0.176
Ge 0.750 0.319 0.676
Ge 0.250 0.681 0.324
Ge 0.750 0.775 0.429
Ge 0.250 0.725 0.929
Ge 0.750 0.275 0.071
Ge 0.250 0.225 0.571

# BaCaGe4

A relaxed structure of BaCaGe4 (PBE-GGA, the Alexandria database).

Distance to the lowest polymorph of the same formula (meV per atom): 0
Symmetry: Pbam, No. 55
Volume (Å³ per atom): 27.14
Formation energy from the elements (kJ/mol of formula units): -249.4

abc: 4.642 8.655 16.211
angles: 90.00 90.00 90.00
Atoms (fractional coordinates):
Ba 0.000 0.625 0.353
Ba 0.000 0.375 0.647
Ba 0.000 0.125 0.147
Ba 0.000 0.875 0.853
Ca 0.000 0.632 0.088
Ca 0.000 0.368 0.912
Ca 0.000 0.132 0.412
Ca 0.000 0.868 0.588
Ge 0.500 0.786 0.192
Ge 0.500 0.214 0.808
Ge 0.500 0.286 0.308
Ge 0.500 0.714 0.692
Ge 0.500 0.873 0.041
Ge 0.500 0.127 0.959
Ge 0.500 0.373 0.459
Ge 0.500 0.627 0.541
Ge 0.500 0.881 0.453
Ge 0.500 0.119 0.547
Ge 0.500 0.381 0.047
Ge 0.500 0.619 0.953
Ge 0.500 0.989 0.304
Ge 0.500 0.011 0.696
Ge 0.500 0.489 0.196
Ge 0.500 0.511 0.804

# BaCa2Ge2

A relaxed structure of BaCa2Ge2 (PBE-GGA, the Alexandria database).

Distance to the lowest polymorph of the same formula (meV per atom): 90
Symmetry: P4/mbm, No. 127
Volume (Å³ per atom): 28.03
Formation energy from the elements (kJ/mol of formula units): -224.6

abc: 9.044 9.044 3.428
angles: 90.00 90.00 90.00
Atoms (fractional coordinates):
Ge 0.173 0.673 0.500
Ge 0.673 0.827 0.500
Ge 0.827 0.327 0.500
Ge 0.327 0.173 0.500
Ca 0.375 0.875 0.000
Ca 0.875 0.625 0.000
Ca 0.625 0.125 0.000
Ca 0.125 0.375 0.000
Ba 0.000 0.000 0.000
Ba 0.500 0.500 0.000

# BaCaGe2

A relaxed structure of BaCaGe2 (PBE-GGA, the Alexandria database).

Symmetry: I-42d, No. 122
Volume (Å³ per atom): 31.23
Formation energy from the elements (kJ/mol of formula units): -29.3

abc: 8.574 8.574 6.950
angles: 51.92 51.92 90.00
Atoms (fractional coordinates):
Ge 0.596 0.125 0.250
Ge 0.154 0.625 0.250
Ge 0.375 0.404 0.750
Ge 0.875 0.846 0.750
Ca 0.500 0.500 0.000
Ca 0.250 0.750 0.500
Ba 0.000 0.000 0.000
Ba 0.750 0.250 0.500